This record from Alexandria describes an optimized crystal structure of LiCa2Mo. The functional is GGA-PBE.

Lattice parameters (Å, degrees): 3.148 3.148 9.836 90.00 90.00 90.00
Atoms (fractional coordinates):
Li: 0.000 0.000 0.000
Ca: 0.000 0.000 0.408
Ca: 0.500 0.500 0.745
Mo: 0.500 0.500 0.177

Properties
* ΔE_f: 0.66 eV/atom
* electronic total energy: -3.530 eV per atom